DFT (PBE) results for crystalline MnTl3Br4 at its relaxed geometry.

Its energy is -0.128 hartree per atom. Its total moment is 8.11 Bohr magnetons per cell. Its calculated density is 5.877 g cm⁻³.

Lattice parameters (Å, degrees): 12.589 6.702 6.615 90.00 90.00 90.00
Fractional coordinates of all 16 atoms:
1 Mn 0.000 0.214 0.000
2 Mn 0.500 0.786 0.500
3 Tl 0.000 0.833 0.700
4 Tl 0.247 0.194 0.570
5 Tl 0.253 0.806 0.070
6 Tl 0.500 0.167 0.200
7 Tl 0.747 0.806 0.070
8 Tl 0.753 0.194 0.570
9 Br 0.000 0.348 0.640
10 Br 0.000 0.888 0.205
11 Br 0.187 0.329 0.091
12 Br 0.313 0.671 0.591
13 Br 0.500 0.112 0.705
14 Br 0.500 0.652 0.140
15 Br 0.687 0.671 0.591
16 Br 0.813 0.329 0.091